No. 1
# LiPbF3

LiPbF3 at its PBEsol-relaxed geometry (meta-GGA SCAN, Alexandria).

Its density of states at the Fermi level is 0.0 states/eV/f.u. The size of the total moment is 0.00 μB per formula unit. The formation energy from raw total energies comes out at -13.51 eV/f.u.

Unit cell a=3.852 b=3.852 c=3.852 alpha=90.00 beta=90.00 gamma=90.00
Atoms (fractional coordinates):
F 0.000 0.500 0.000
F 0.500 0.000 0.000
F 0.000 0.000 0.500
Pb 0.500 0.500 0.500
Li 0.000 0.000 0.000



No. 2
# LiPb2F

LiPb2F at its PBEsol-relaxed geometry (meta-GGA SCAN, Alexandria).

Its density of states at the Fermi level is 2.0 states/eV/f.u. The size of the total moment is 0.00 μB per formula unit. The formation energy from raw total energies comes out at -2.54 eV/f.u.

Unit cell a=4.819 b=4.819 c=4.819 alpha=60.00 beta=60.00 gamma=60.00
Atoms (fractional coordinates):
Li 0.000 0.000 0.000
Pb 0.250 0.250 0.250
Pb 0.750 0.750 0.750
F 0.500 0.500 0.500



No. 3
# LiPdF2

LiPdF2 at its PBEsol-relaxed geometry (meta-GGA SCAN, Alexandria).

Its density of states at the Fermi level is 0.8 states/eV/f.u. The size of the total moment is 0.00 μB per formula unit. The formation energy from raw total energies comes out at -8.41 eV/f.u.

Unit cell a=2.810 b=2.810 c=6.319 alpha=77.15 beta=77.15 gamma=60.00
Atoms (fractional coordinates):
Li 0.500 0.500 0.500
F 0.108 0.108 0.677
F 0.892 0.892 0.323
Pd 0.000 0.000 0.000